Entry P
Below is Ca2YZr after structural relaxation, with properties calculated at the PBE level.

a = 3.6306 Å, b = 6.1113 Å, c = 11.8417 Å
α = 90.00°, β = 90.00°, γ = 90.00°
Space group Imm2 (No. 44)
Inequivalent atoms, fractional coordinates:
1 Ca 0.0000 0.0000 0.0000 (multiplicity 2)
2 Ca 0.0000 0.5000 0.2331 (multiplicity 2)
3 Y 0.0000 0.5000 0.7708 (multiplicity 2)
4 Zr 0.0000 0.0000 0.4903 (multiplicity 2)

Calculated values
Density of states at the Fermi level in states/eV per cell: 10.1



Entry Q
Below is Ca2YZr after structural relaxation, with properties calculated at the PBE level.

a = 5.6464 Å, b = 5.6464 Å, c = 4.0001 Å
α = 90.00°, β = 90.00°, γ = 90.00°
Space group P4/mmm (No. 123)
Inequivalent atoms, fractional coordinates:
1 Ca 0.0000 0.5000 0.0000 (multiplicity 2)
2 Y 0.0000 0.0000 0.5000 (multiplicity 1)
3 Zr 0.5000 0.5000 0.5000 (multiplicity 1)

Calculated values
Density of states at the Fermi level in states/eV per cell: 7.1



Entry R
Below is Ca2YZr after structural relaxation, with properties calculated at the PBE level.

a = 3.4895 Å, b = 3.4895 Å, c = 36.3200 Å
α = 90.00°, β = 90.00°, γ = 120.00°
Space group R-3m (No. 166, hexagonal axes)
Inequivalent atoms, fractional coordinates:
1 Ca 0.0000 0.0000 0.2444 (multiplicity 6)
2 Y 0.0000 0.0000 0.0000 (multiplicity 3)
3 Zr 0.0000 0.0000 0.5000 (multiplicity 3)

Calculated values
Density of states at the Fermi level in states/eV per cell: 22.0



entry R is preferred energetically. Next in line: 25 meV/atom higher.



Entry P
Below is Ca2YZr after structural relaxation, with properties calculated at the PBE level.

a = 3.4083 Å, b = 5.9808 Å, c = 6.3411 Å
α = 90.00°, β = 96.54°, γ = 90.00°
Space group P2/m (No. 10)
Inequivalent atoms, fractional coordinates:
1 Ca 0.2406 0.0000 0.2583 (multiplicity 2)
2 Y 0.5000 0.5000 0.0000 (multiplicity 1)
3 Zr 0.0000 0.5000 0.5000 (multiplicity 1)

Calculated values
Density of states at the Fermi level in states/eV per cell: 5.7



Entry Q
Below is Ca2YZr after structural relaxation, with properties calculated at the PBE level.

a = 8.9551 Å, b = 8.9551 Å, c = 6.5506 Å
α = 90.00°, β = 90.00°, γ = 90.00°
Space group I-42d (No. 122)
Inequivalent atoms, fractional coordinates:
1 Ca 0.2381 0.2500 0.1250 (multiplicity 8)
2 Y 0.0000 0.0000 0.5000 (multiplicity 4)
3 Zr 0.0000 0.0000 0.0000 (multiplicity 4)

Calculated values
Density of states at the Fermi level in states/eV per cell: 23.8



entry P is preferred energetically. Next in line: 346 meV/atom higher.



Entry P
Below is Ca3YZr after structural relaxation, with properties calculated at the PBE level.

a = 5.7193 Å, b = 5.7193 Å, c = 5.7193 Å
α = 90.00°, β = 90.00°, γ = 90.00°
Space group Pm-3m (No. 221)
Inequivalent atoms, fractional coordinates:
1 Ca 0.0000 0.0000 0.5000 (multiplicity 3)
2 Y 0.0000 0.0000 0.0000 (multiplicity 1)
3 Zr 0.5000 0.5000 0.5000 (multiplicity 1)

Calculated values
Density of states at the Fermi level in states/eV per cell: 7.3



Entry Q
Below is Ca3YZr after structural relaxation, with properties calculated at the PBE level.

a = 5.7212 Å, b = 5.7212 Å, c = 5.7212 Å
α = 90.00°, β = 90.00°, γ = 90.00°
Space group Pm-3m (No. 221)
Inequivalent atoms, fractional coordinates:
1 Ca 0.0000 0.0000 0.5000 (multiplicity 3)
2 Y 0.5000 0.5000 0.5000 (multiplicity 1)
3 Zr 0.0000 0.0000 0.0000 (multiplicity 1)

Calculated values
Density of states at the Fermi level in states/eV per cell: 6.4



entry Q is preferred energetically. Next in line: 410 meV/atom higher.



Entry P
Below is Ca5Zn4 after structural relaxation, with properties calculated at the PBE level.

a = 9.3055 Å, b = 9.3055 Å, c = 6.7043 Å
α = 90.00°, β = 90.00°, γ = 120.00°
Space group P6_3/mcm (No. 193)
Inequivalent atoms, fractional coordinates:
1 Ca 0.0000 0.2754 0.2500 (multiplicity 6)
2 Ca 0.3333 0.6667 0.0000 (multiplicity 4)
3 Zn 0.0000 0.0000 0.0000 (multiplicity 2)
4 Zn 0.0000 0.3858 0.7500 (multiplicity 6)

Calculated values
Density of states at the Fermi level in states/eV per cell: 16.8



Entry Q
Below is Ca5Zn4 after structural relaxation, with properties calculated at the PBE level.

a = 11.1713 Å, b = 4.6194 Å, c = 10.4808 Å
α = 90.00°, β = 110.69°, γ = 90.00°
Space group C2/m (No. 12)
Inequivalent atoms, fractional coordinates:
1 Ca 0.0000 0.0000 0.0000 (multiplicity 2)
2 Ca 0.1084 0.0000 0.3946 (multiplicity 4)
3 Ca 0.2454 0.0000 0.8239 (multiplicity 4)
4 Zn 0.0506 0.5000 0.8317 (multiplicity 4)
5 Zn 0.1033 0.5000 0.6101 (multiplicity 4)

Calculated values
Density of states at the Fermi level in states/eV per cell: 13.5



entry Q is preferred energetically. Next in line: 58 meV/atom higher.